Entry 1:
DFT (PBE) results for a relaxed CaYS3 crystal.

Structure (extended XYZ):
```
5
Lattice="5.1928 0.0000 0.0000 0.0000 5.1928 0.0000 0.0000 0.0000 5.1928" Properties=species:S:1:pos:R:3 pbc="T T T"
Ca 0.0000 0.0000 0.0000
Y 2.5964 2.5964 2.5964
S 0.0000 2.5964 2.5964
S 2.5964 0.0000 2.5964
S 2.5964 2.5964 0.0000
```

Computed properties:
energy above the lowest structure with this stoichiometry: 0 meV per atom



Entry 2:
DFT (PBE) results for a relaxed Ca3Y4S8 crystal.

Structure (extended XYZ):
```
15
Lattice="5.5848 -5.6020 0.0000 5.5848 5.6020 0.0000 -5.5472 0.0000 5.6193" Properties=species:S:1:pos:R:3 pbc="T T T"
Ca 0.0000 0.0000 0.0000
Ca 2.7924 2.8010 0.0000
Ca 2.7924 -2.8010 0.0000
Y 0.0188 2.8010 2.8097
Y 0.0188 -2.8010 2.8097
Y 5.5848 0.0000 0.0000
Y 2.8112 0.0000 2.8097
S 5.5848 2.7814 0.0000
S 0.0429 0.0000 2.8360
S 2.8112 2.7569 2.8097
S 2.8370 0.0000 0.0742
S 2.7855 0.0000 5.5451
S 2.8112 -2.7569 2.8097
S 5.5796 0.0000 2.7833
S 5.5848 -2.7814 0.0000
```



Entry 3:
DFT (PBE) results for a relaxed CaYS2 crystal.

Structure (extended XYZ):
```
4
Lattice="3.4125 -1.9700 0.0000 3.4125 1.9700 0.0000 -2.2635 0.0000 6.5652" Properties=species:S:1:pos:R:3 pbc="T T T"
Ca 0.0000 0.0000 0.0000
Y 2.2807 0.0000 3.2826
S 0.0089 0.0000 4.8960
S 4.5525 0.0000 1.6692
```

Computed properties:
energy above the lowest structure with this stoichiometry: 0 meV per atom



Entry 4:
DFT (PBE) results for a relaxed CaY4S5 crystal.

Structure (extended XYZ):
```
10
Lattice="-4.3971 4.3971 2.7820 4.3971 -4.3971 2.7820 4.3971 4.3971 -2.7820" Properties=species:S:1:pos:R:3 pbc="T T T"
Ca 0.0000 0.0000 0.0000
Y 5.2892 1.7592 0.0000
Y 1.7592 3.5050 0.0000
Y 2.6378 0.8921 2.7820
Y -0.8921 2.6378 2.7820
S 2.6444 0.8713 0.0000
S 3.5258 -1.7526 2.7820
S 0.0000 0.0000 2.7820
S 0.8713 6.1497 0.0000
S 1.7526 3.5258 2.7820
```



Entry 5:
DFT (PBE) results for a relaxed Ca3YS crystal.

Structure (extended XYZ):
```
5
Lattice="5.5543 0.0000 0.0000 0.0000 5.5543 0.0000 0.0000 0.0000 5.5543" Properties=species:S:1:pos:R:3 pbc="T T T"
Ca 0.0000 0.0000 2.7772
Ca 0.0000 2.7772 0.0000
Ca 2.7772 0.0000 0.0000
Y 2.7772 2.7772 2.7772
S 0.0000 0.0000 0.0000
```

Computed properties:
energy above the lowest structure with this stoichiometry: 0 meV per atom



Entry 6:
DFT (PBE) results for a relaxed CaY2S crystal.

Structure (extended XYZ):
```
8
Lattice="-4.6355 4.6355 2.8557 4.6355 -4.6355 2.8557 4.6355 4.6355 -2.8557" Properties=species:S:1:pos:R:3 pbc="T T T"
Ca 0.0000 0.0000 0.0000
Ca 0.0000 4.6355 1.4278
Y 2.3178 -1.2623 2.1418
Y 3.3732 2.3178 0.7139
Y 2.3178 5.8979 -0.7139
Y 1.2623 2.3178 3.5696
S 4.6355 0.0000 1.4278
S 0.0000 0.0000 2.8557
```



Entry 7:
DFT (PBE) results for a relaxed CaYS2 crystal.

Structure (extended XYZ):
```
4
Lattice="2.0353 1.1751 8.2706 -2.0353 1.1751 8.2706 0.0000 -2.3502 8.2706" Properties=species:S:1:pos:R:3 pbc="T T T"
Ca 0.0000 0.0000 0.0000
Y 0.0000 0.0000 12.4059
S 0.0000 0.0000 2.6921
S 0.0000 0.0000 22.1197
```

Computed properties:
energy above the lowest structure with this stoichiometry: 386 meV per atom



Entry 8:
DFT (PBE) results for a relaxed Ca3Y5S8 crystal.

Structure (extended XYZ):
```
16
Lattice="3.9408 2.2752 6.4854 -3.9408 2.2752 6.4854 0.0000 -4.5504 6.4854" Properties=species:S:1:pos:R:3 pbc="T T T"
Ca -1.9704 -1.1376 6.4854
Ca -1.9704 1.1376 12.9709
Ca 0.0000 2.2752 6.4854
Y 0.0000 0.0000 0.0000
Y -3.9408 0.0000 9.7281
Y -1.9704 1.1376 3.2427
Y 1.9704 1.1376 3.2427
Y 0.0000 0.0000 9.7281
S -1.9767 -1.1413 11.3380
S 0.0000 0.0000 4.8354
S 0.0000 -2.2825 8.1183
S -1.9767 1.1413 8.1183
S 1.9767 -1.1413 11.3380
S 0.0000 2.2825 11.3380
S 0.0000 0.0000 14.6209
S 1.9767 1.1413 8.1183
```



Entry 9:
DFT (PBE) results for a relaxed Ca4YS5 crystal.

Structure (extended XYZ):
```
10
Lattice="-2.0003 2.0003 14.2072 2.0003 -2.0003 14.2072 2.0003 2.0003 -14.2072" Properties=species:S:1:pos:R:3 pbc="T T T"
Ca 0.0000 0.0000 2.8291
Ca 0.0000 0.0000 8.5317
Ca 0.0000 0.0000 19.8827
Ca 0.0000 0.0000 25.5853
Y 0.0000 0.0000 14.2072
S 0.0000 0.0000 0.0000
S 0.0000 0.0000 5.6717
S 0.0000 0.0000 11.4195
S 0.0000 0.0000 16.9948
S 0.0000 0.0000 22.7427
```



Entry 10:
DFT (PBE) results for a relaxed CaY2S4 crystal.

Structure (extended XYZ):
```
28
Lattice="12.0458 0.0000 0.0000 0.0000 3.9375 0.0000 0.0000 0.0000 14.1339" Properties=species:S:1:pos:R:3 pbc="T T T"
Ca 2.9799 0.9844 2.3166
Ca 3.0430 2.9532 9.3836
Ca 9.0028 0.9844 4.7503
Ca 9.0659 2.9532 11.8173
Y 0.7467 0.9844 5.4576
Y 1.0764 0.9844 12.7608
Y 4.9465 2.9532 5.6938
Y 5.2762 2.9532 12.5246
Y 6.7696 0.9844 1.6093
Y 7.0993 0.9844 8.4401
Y 10.9694 2.9532 1.3732
Y 11.2991 2.9532 8.6763
S 0.4781 2.9532 11.0680
S 1.1134 0.9844 8.1543
S 1.5687 2.9532 0.5242
S 2.4337 2.9532 4.4866
S 3.5892 0.9844 11.5536
S 4.4541 0.9844 7.5911
S 4.9095 2.9532 1.0874
S 5.5448 0.9844 4.0011
S 6.5010 2.9532 10.1329
S 7.1363 0.9844 13.0466
S 7.5916 2.9532 6.5428
S 8.4566 2.9532 2.5804
S 9.6121 0.9844 9.6473
S 10.4770 0.9844 13.6098
S 10.9323 2.9532 5.9796
S 11.5677 0.9844 3.0659
```

Computed properties:
energy above the lowest structure with this stoichiometry: 21 meV per atom



Entry 11:
DFT (PBE) results for a relaxed Ca2YS4 crystal.

Structure (extended XYZ):
```
14
Lattice="1.9325 -6.8147 0.0000 1.9325 6.8147 0.0000 0.0000 0.0000 12.7379" Properties=species:S:1:pos:R:3 pbc="T T T"
Ca 1.9325 5.0436 7.2548
Ca 1.9325 5.0436 11.8521
Ca 1.9325 -5.0436 0.8858
Ca 1.9325 -5.0436 5.4831
Y 1.9325 1.6386 9.5534
Y 1.9325 -1.6386 3.1845
S 1.9325 6.5592 9.5534
S 1.9325 3.7562 1.6404
S 1.9325 3.7562 4.7285
S 1.9325 0.0000 0.0000
S 1.9325 0.0000 6.3690
S 1.9325 -3.7562 8.0094
S 1.9325 -3.7562 11.0975
S 1.9325 -6.5592 3.1845
```



Entry 12:
DFT (PBE) results for a relaxed CaY3S6 crystal.

Structure (extended XYZ):
```
20
Lattice="6.6920 0.0000 0.0000 0.0000 7.2485 0.0000 -6.5209 0.0000 9.9512" Properties=species:S:1:pos:R:3 pbc="T T T"
Ca 0.0000 0.0000 0.0000
Ca -3.2605 3.6242 4.9756
Y -3.5093 0.6986 7.4143
Y -0.2489 2.9257 2.4386
Y 0.0855 0.0000 4.9756
Y 3.3460 3.6242 0.0000
Y 0.4199 4.3228 7.5126
Y 3.6804 6.5499 2.5370
S -2.0565 1.3308 4.1409
S -5.3169 2.2934 9.1166
S -1.1151 5.0026 4.0368
S -4.3755 5.8702 9.0124
S 1.2234 0.5912 2.5379
S -2.0371 3.0331 7.5135
S 2.2082 4.2154 2.4378
S -1.0523 6.6573 7.4134
S 4.5466 1.3783 0.9389
S 1.2861 2.2459 5.9145
S 5.4880 4.9551 0.8347
S 2.2275 5.9177 5.8103
```



Entry 13:
DFT (PBE) results for a relaxed CaY4S6 crystal.

Structure (extended XYZ):
```
22
Lattice="1.9467 -6.4762 0.0000 1.9467 6.4762 0.0000 0.0000 0.0000 20.0526" Properties=species:S:1:pos:R:3 pbc="T T T"
Ca 1.9467 4.4462 15.0394
Ca 1.9467 -4.4462 5.0131
Y 1.9467 5.2611 2.6291
Y 1.9467 5.2611 7.3972
Y 1.9467 1.7797 0.8279
Y 1.9467 1.7797 9.1984
Y 1.9467 -1.7797 10.8541
Y 1.9467 -1.7797 19.2247
Y 1.9467 -5.2611 12.6554
Y 1.9467 -5.2611 17.4235
S 0.0000 0.0000 0.0000
S 0.0000 0.0000 10.0263
S 1.9467 4.0267 5.0131
S 1.9467 2.9640 11.7503
S 1.9467 2.9640 18.3286
S 1.9467 0.5878 3.2884
S 1.9467 0.5878 6.7379
S 1.9467 -0.5878 13.3147
S 1.9467 -0.5878 16.7642
S 1.9467 -2.9640 1.7240
S 1.9467 -2.9640 8.3023
S 1.9467 -4.0267 15.0394
```



Entry 14:
DFT (PBE) results for a relaxed Ca2YS crystal.

Structure (extended XYZ):
```
8
Lattice="-4.8645 4.8645 2.7206 4.8645 -4.8645 2.7206 4.8645 4.8645 -2.7206" Properties=species:S:1:pos:R:3 pbc="T T T"
Ca 2.4322 1.3003 -0.6802
Ca 3.5641 -2.4322 3.4008
Ca 2.4322 3.5641 2.0405
Ca 1.3003 7.2967 0.6802
Y 4.8645 0.0000 1.3603
Y 0.0000 0.0000 2.7206
S 0.0000 0.0000 0.0000
S 0.0000 4.8645 1.3603
```



Entry 15:
DFT (PBE) results for a relaxed CaY3S4 crystal.

Structure (extended XYZ):
```
8
Lattice="-2.7794 2.7794 5.5793 2.7794 -2.7794 5.5793 2.7794 2.7794 -5.5793" Properties=species:S:1:pos:R:3 pbc="T T T"
Ca 0.0000 0.0000 0.0000
Y 2.7794 0.0000 2.7896
Y 0.0000 0.0000 5.5793
Y 0.0000 2.7794 2.7896
S 2.7794 0.0000 0.0000
S 0.0000 0.0000 2.7735
S 0.0000 2.7794 0.0000
S 0.0000 0.0000 8.3851
```



Entry 16:
DFT (PBE) results for a relaxed CaZn3S crystal.

Structure (extended XYZ):
```
5
Lattice="5.6027 0.0000 0.0000 0.0000 5.6027 0.0000 0.0000 0.0000 5.6027" Properties=species:S:1:pos:R:3 pbc="T T T"
Ca 0.0000 0.0000 0.0000
Zn 0.0000 0.0000 2.8014
Zn 0.0000 2.8014 0.0000
Zn 2.8014 0.0000 0.0000
S 2.8014 2.8014 2.8014
```

Computed properties:
energy above the lowest structure with this stoichiometry: 702 meV per atom



no.,VASP energy (eV/atom),raw formation energy (meV/atom)
1,-5.450,-1281
2,-6.415,-2090
3,-6.240,-2060
4,-6.868,-2018
5,-3.873,-554
6,-5.408,-644
7,-5.854,-1674
8,-6.500,-2041
9,-5.626,-2115
10,-6.575,-2084
11,-5.627,-1773
12,-6.436,-1820
13,-6.846,-2062
14,-4.283,-634
15,-6.769,-2031
16,-1.133,857